Record 1
! Ce8IrOs3Br4 | Alexandria via LeMat-Bulk | GGA-PBE | optimized geometry; values from VASP
&SYSTEM
  ibrav = 0, nat = 16, ntyp = 4
/
ATOMIC_SPECIES
Ce 140.12 Ce.upf
Ir 192.22 Ir.upf
Os 190.23 Os.upf
Br 79.90 Br.upf
CELL_PARAMETERS angstrom
4.0804 2.3558 7.6433
-4.0804 2.3558 7.6433
0.0000 -4.7116 7.6433
ATOMIC_POSITIONS angstrom
Ce -2.0633 -1.1912 12.9582
Ce 0.0000 0.0000 5.3163
Ce 0.0000 -2.3825 9.9718
Ce -2.0633 1.1912 9.9718
Ce 2.0633 -1.1912 12.9582
Ce 0.0000 2.3825 12.9582
Ce 0.0000 0.0000 17.6137
Ce 2.0633 1.1912 9.9718
Ir 0.0000 0.0000 11.4650
Os -4.0804 0.0000 11.4650
Os -2.0402 1.1779 3.8217
Os 2.0402 1.1779 3.8217
Br 0.0000 0.0000 0.0000
Br -2.0402 -1.1779 7.6433
Br -2.0402 1.1779 15.2867
Br 0.0000 2.3558 7.6433
! Total energy ... -6.88 eV/atom
! V ... 440.8 Å³/f.u.

---

Record 2
! Sc6AlHg5 | Alexandria via LeMat-Bulk | GGA-PBE | optimized geometry; values from VASP
&SYSTEM
  ibrav = 0, nat = 12, ntyp = 3
/
ATOMIC_SPECIES
Sc 44.96 Sc.upf
Al 26.98 Al.upf
Hg 200.59 Hg.upf
CELL_PARAMETERS angstrom
4.9288 0.0000 0.0000
0.0000 7.0528 0.0000
-2.4426 0.0000 7.4159
ATOMIC_POSITIONS angstrom
Sc 0.0000 1.7526 0.0000
Sc 0.0000 5.3002 0.0000
Sc 0.0173 1.7439 4.9530
Sc 0.0173 5.3089 4.9530
Sc 2.4689 1.7439 2.4630
Sc 2.4689 5.3089 2.4630
Al 2.4644 0.0000 0.0000
Hg 0.0045 0.0000 2.4152
Hg 0.0043 3.5264 2.4616
Hg 2.4644 3.5264 0.0000
Hg 2.4818 3.5264 4.9543
Hg 2.4816 0.0000 5.0007
! Formation energy ... -0.42 eV/atom
! Total energy ... -4.02 eV/atom
! V ... 257.8 Å³/f.u.

---

Record 3
! YPd2N | Alexandria via LeMat-Bulk | GGA-PBE | optimized geometry; values from VASP
&SYSTEM
  ibrav = 0, nat = 16, ntyp = 3
/
ATOMIC_SPECIES
Y 88.91 Y.upf
Pd 106.42 Pd.upf
N 14.01 N.upf
CELL_PARAMETERS angstrom
4.9722 0.0000 0.0000
0.0000 4.9722 0.0000
0.0000 0.0000 12.4804
ATOMIC_POSITIONS angstrom
Y 0.0000 0.0000 0.0000
Y 0.0000 2.4861 3.1201
Y 2.4861 0.0000 9.3603
Y 2.4861 2.4861 6.2402
Pd 0.5189 1.2431 7.8002
Pd 1.2431 3.0050 10.9203
Pd 1.2431 4.4534 4.6801
Pd 1.9673 1.2431 1.5600
Pd 3.0050 3.7292 1.5600
Pd 3.7292 0.5189 4.6801
Pd 3.7292 1.9673 10.9203
Pd 4.4534 3.7292 7.8002
N 0.0000 0.0000 6.2402
N 0.0000 2.4861 9.3603
N 2.4861 0.0000 3.1201
N 2.4861 2.4861 0.0000
! Total energy ... -6.32 eV/atom
! V ... 77.1 Å³/f.u.

---

Record 4
! CaTaRu2 | Alexandria via LeMat-Bulk | GGA-PBE | optimized geometry; values from VASP
&SYSTEM
  ibrav = 0, nat = 16, ntyp = 3
/
ATOMIC_SPECIES
Ca 40.08 Ca.upf
Ta 180.95 Ta.upf
Ru 101.07 Ru.upf
CELL_PARAMETERS angstrom
7.2144 0.0000 0.0000
0.0000 7.2144 0.0000
0.0000 0.0000 6.0734
ATOMIC_POSITIONS angstrom
Ca 0.0000 0.0000 0.0000
Ca 0.0000 3.6072 1.5184
Ca 3.6072 0.0000 4.5551
Ca 3.6072 3.6072 3.0367
Ta 0.0000 0.0000 3.0367
Ta 0.0000 3.6072 4.5551
Ta 3.6072 0.0000 1.5184
Ta 3.6072 3.6072 0.0000
Ru 1.5012 1.8036 3.7959
Ru 1.8036 5.1084 5.3143
Ru 1.8036 5.7132 2.2775
Ru 2.1060 1.8036 0.7592
Ru 5.1084 5.4108 0.7592
Ru 5.4108 1.5012 2.2775
Ru 5.4108 2.1060 5.3143
Ru 5.7132 5.4108 3.7959
! Formation energy ... 0.44 eV/atom
! Total energy ... -7.66 eV/atom
! V ... 79.0 Å³/f.u.

---

Record 5
! PuTcS4 | Alexandria via LeMat-Bulk | GGA-PBE | optimized geometry; values from VASP
&SYSTEM
  ibrav = 0, nat = 12, ntyp = 3
/
ATOMIC_SPECIES
Pu 244.00 Pu.upf
Tc 98.00 Tc.upf
S 32.06 S.upf
CELL_PARAMETERS angstrom
7.1393 0.0000 0.0000
0.0000 5.4582 0.0000
-2.8503 0.0000 6.2298
ATOMIC_POSITIONS angstrom
Pu 0.0000 0.0000 0.0000
Pu -1.4252 2.7291 3.1149
Tc 3.5696 0.0000 0.0000
Tc 2.1445 2.7291 3.1149
S 0.5098 1.2061 2.3164
S -0.9153 1.5230 5.4313
S 1.9736 4.0166 1.0882
S 0.5484 4.1707 4.2031
S 3.7405 1.2875 2.0267
S 2.3154 1.4416 5.1416
S 5.2043 3.9352 0.7985
S 3.7792 4.2520 3.9134
! Total energy ... -7.62 eV/atom
! V ... 121.4 Å³/f.u.

---

Record 6
! TcMo2PBr | Alexandria via LeMat-Bulk | GGA-PBE | optimized geometry; values from VASP
&SYSTEM
  ibrav = 0, nat = 5, ntyp = 4
/
ATOMIC_SPECIES
Tc 98.00 Tc.upf
Mo 95.94 Mo.upf
P 30.97 P.upf
Br 79.90 Br.upf
CELL_PARAMETERS angstrom
4.9594 0.0000 0.0000
0.0000 4.9594 0.0000
0.0000 0.0000 4.4568
ATOMIC_POSITIONS angstrom
Tc 0.0000 0.0000 0.0000
Mo 0.0000 2.4797 0.0000
Mo 2.4797 0.0000 0.0000
P 0.0000 0.0000 2.2284
Br 2.4797 2.4797 2.2284
! Total energy ... -6.56 eV/atom
! V ... 109.6 Å³/f.u.

---

Record 7
! LiZr4Sb | Alexandria via LeMat-Bulk | GGA-PBE | optimized geometry; values from VASP
&SYSTEM
  ibrav = 0, nat = 6, ntyp = 3
/
ATOMIC_SPECIES
Li 6.94 Li.upf
Zr 91.22 Zr.upf
Sb 121.76 Sb.upf
CELL_PARAMETERS angstrom
0.0000 4.1124 4.1124
4.1124 0.0000 4.1124
4.1124 4.1124 0.0000
ATOMIC_POSITIONS angstrom
Li 0.0000 0.0000 0.0000
Zr 3.0806 3.0806 3.0806
Zr 5.1443 5.1443 3.0806
Zr 5.1443 3.0806 5.1443
Zr 3.0806 5.1443 5.1443
Sb 6.1687 6.1687 6.1687
! Total energy ... -6.44 eV/atom
! V ... 139.1 Å³/f.u.

---

Record 8
! CsZnPd2F | Alexandria via LeMat-Bulk | GGA-PBE | optimized geometry; values from VASP
&SYSTEM
  ibrav = 0, nat = 5, ntyp = 4
/
ATOMIC_SPECIES
Cs 132.91 Cs.upf
Zn 65.41 Zn.upf
Pd 106.42 Pd.upf
F 19.00 F.upf
CELL_PARAMETERS angstrom
4.7058 0.0000 0.0000
0.0000 4.7058 0.0000
0.0000 0.0000 5.3320
ATOMIC_POSITIONS angstrom
Cs 0.0000 0.0000 0.0000
Zn 2.3529 2.3529 0.0000
Pd 0.0000 2.3529 2.6660
Pd 2.3529 0.0000 2.6660
F 0.0000 0.0000 2.6660
! Total energy ... -2.87 eV/atom
! V ... 118.1 Å³/f.u.

---

Question: The highest total energy belongs to which entry?
Answer: CsZnPd2F